# 1
Material: Rb2FeNiCl6
Method: DFT, PBE
State: optimized geometry

Lattice parameters (Å, degrees): 9.735 9.735 9.735 90.00 90.00 90.00
Space group Fm-3m (No. 225)
Inequivalent atoms, fractional coordinates:
Rb: 0.250 0.250 0.250
Fe: 0.000 0.000 0.000
Ni: 0.000 0.000 0.500
Cl: 0.000 0.000 0.251

Output
ρ = 3.59 g cm⁻³
DFT total energy = -152.38 eV per cell
magnetic moment = 4.75 μB per formula unit

---

# 2
Material: ErSi2NiIr
Method: DFT, PBE
State: optimized geometry

Lattice parameters (Å, degrees): 3.974 3.974 9.907 90.00 90.00 90.00
Space group I-4m2 (No. 119)
Inequivalent atoms, fractional coordinates:
Er: 0.000 0.000 0.000
Si: 0.000 0.000 0.380
Ni: 0.000 0.500 0.750
Ir: 0.000 0.500 0.250

Output
ρ = 10.07 g cm⁻³
DFT total energy = -69.00 eV per cell
magnetic moment = 0.00 μB per formula unit

---

# 3
Material: Nd2YMg3Ir3
Method: DFT, PBE
State: optimized geometry

Lattice parameters (Å, degrees): 4.116 12.760 7.369 90.00 90.00 90.00
Space group Amm2 (No. 38)
Inequivalent atoms, fractional coordinates:
Nd: 0.000 0.206 0.000
Y: 0.000 0.000 0.613
Mg: 0.500 0.000 0.962
Mg: 0.500 0.120 0.329
Ir: 0.000 0.000 0.210
Ir: 0.500 0.163 0.705

Output
ρ = 8.81 g cm⁻³
DFT total energy = -105.58 eV per cell
magnetic moment = 0.01 μB per formula unit

---

# 4
Material: La2TbCd4Si4
Method: DFT, PBE
State: optimized geometry

Lattice parameters (Å, degrees): 4.264 4.413 26.403 90.00 90.00 90.00
Space group Immm (No. 71)
Inequivalent atoms, fractional coordinates:
La: 0.000 0.000 0.142
Tb: 0.000 0.500 0.000
Cd: 0.000 0.000 0.410
Cd: 0.000 0.500 0.250
Si: 0.000 0.000 0.313
Si: 0.000 0.500 0.456

Output
ρ = 6.68 g cm⁻³
DFT total energy = -88.16 eV per cell
magnetic moment = 0.00 μB per formula unit